Record 1
Density functional theory data (PBE) for a geometry-optimized Pr2ErCu structure.

abc: 11.326 11.326 11.326
angles: 17.95 17.95 17.95
Sites, in units of the cell vectors:
Pr (0.102, 0.102, 0.102)
Pr (0.898, 0.898, 0.898)
Er (0.000, 0.000, 0.000)
Cu (0.500, 0.500, 0.500)

* DFT formation energy: 276.0 meV per atom
* symmetry: R-3m, No. 166



Record 2
Density functional theory data (PBE) for a geometry-optimized PrErCu4 structure.

abc: 5.314 5.314 5.314
angles: 60.00 60.00 60.00
Sites, in units of the cell vectors:
Pr (0.000, 0.000, 0.000)
Er (0.250, 0.250, 0.250)
Cu (0.129, 0.624, 0.624)
Cu (0.624, 0.129, 0.624)
Cu (0.624, 0.624, 0.129)
Cu (0.624, 0.624, 0.624)

* DFT formation energy: -118.7 meV per atom
* symmetry: F-43m, No. 216



Record 3
Density functional theory data (PBE) for a geometry-optimized PrErCu4 structure.

abc: 5.531 5.531 5.531
angles: 134.04 101.69 95.86
Sites, in units of the cell vectors:
Pr (0.000, 0.000, 0.000)
Er (0.418, 0.918, 0.500)
Cu (0.424, 0.619, 0.805)
Cu (0.586, 0.289, 0.297)
Cu (0.813, 0.619, 0.195)
Cu (0.993, 0.289, 0.703)

* DFT formation energy: -230.5 meV per atom
* symmetry: Imm2, No. 44



Record 4
Density functional theory data (PBE) for a geometry-optimized PrEr2Cu structure.

abc: 9.910 9.910 9.910
angles: 21.44 21.44 21.44
Sites, in units of the cell vectors:
Pr (0.000, 0.000, 0.000)
Er (0.563, 0.563, 0.563)
Er (0.768, 0.768, 0.768)
Cu (0.164, 0.164, 0.164)

* DFT formation energy: 19.1 meV per atom
* symmetry: R3m, No. 160



Record 5
Density functional theory data (PBE) for a geometry-optimized PrEr2Cu structure.

abc: 10.054 10.054 10.054
angles: 20.88 20.88 20.88
Sites, in units of the cell vectors:
Pr (0.000, 0.000, 0.000)
Er (0.232, 0.232, 0.232)
Er (0.768, 0.768, 0.768)
Cu (0.500, 0.500, 0.500)

* DFT formation energy: 20.2 meV per atom
* symmetry: R-3m, No. 166



Record 6
Density functional theory data (PBE) for a geometry-optimized PrEr2Cu structure.

abc: 3.504 3.504 8.718
angles: 90.00 90.00 90.00
Sites, in units of the cell vectors:
Pr (0.000, 0.000, 0.000)
Er (0.500, 0.500, 0.310)
Er (0.500, 0.500, 0.690)
Cu (0.000, 0.000, 0.500)

* DFT formation energy: -111.1 meV per atom
* symmetry: P4/mmm, No. 123



Record 7
Density functional theory data (PBE) for a geometry-optimized PrEr4Cu5 structure.

abc: 3.446 3.446 17.591
angles: 90.00 90.00 90.00
Sites, in units of the cell vectors:
Pr (0.000, 0.000, 0.000)
Er (0.000, 0.000, 0.206)
Er (0.000, 0.000, 0.402)
Er (0.000, 0.000, 0.598)
Er (0.000, 0.000, 0.794)
Cu (0.500, 0.500, 0.114)
Cu (0.500, 0.500, 0.303)
Cu (0.500, 0.500, 0.500)
Cu (0.500, 0.500, 0.697)
Cu (0.500, 0.500, 0.886)

* DFT formation energy: -248.4 meV per atom
* symmetry: P4/mmm, No. 123



Record 8
Density functional theory data (PBE) for a geometry-optimized PrEr3Cu4 structure.

abc: 4.928 4.928 6.954
angles: 90.00 90.00 90.00
Sites, in units of the cell vectors:
Pr (0.000, 0.000, 0.000)
Er (0.000, 0.000, 0.500)
Er (0.500, 0.500, 0.000)
Er (0.500, 0.500, 0.500)
Cu (0.000, 0.500, 0.265)
Cu (0.000, 0.500, 0.735)
Cu (0.500, 0.000, 0.265)
Cu (0.500, 0.000, 0.735)

* DFT formation energy: -228.7 meV per atom
* symmetry: P4/mmm, No. 123



Record 9
Density functional theory data (PBE) for a geometry-optimized PrEr5Cu6 structure.

abc: 4.909 6.886 7.788
angles: 90.00 108.19 90.00
Sites, in units of the cell vectors:
Pr (0.000, 0.000, 0.000)
Er (0.000, 0.500, 0.000)
Er (0.331, 0.000, 0.663)
Er (0.334, 0.500, 0.668)
Er (0.666, 0.500, 0.332)
Er (0.669, 0.000, 0.337)
Cu (0.171, 0.255, 0.343)
Cu (0.171, 0.745, 0.343)
Cu (0.500, 0.266, 0.000)
Cu (0.500, 0.734, 0.000)
Cu (0.829, 0.255, 0.657)
Cu (0.829, 0.745, 0.657)

* DFT formation energy: -249.1 meV per atom
* symmetry: P2/m, No. 10



Record 10
Density functional theory data (PBE) for a geometry-optimized PrErCu2 structure.

abc: 4.998 4.998 4.998
angles: 60.00 60.00 60.00
Sites, in units of the cell vectors:
Pr (0.000, 0.000, 0.000)
Er (0.500, 0.500, 0.500)
Cu (0.250, 0.250, 0.250)
Cu (0.750, 0.750, 0.750)

* DFT formation energy: -175.9 meV per atom
* symmetry: Fm-3m, No. 225



Record 11
Density functional theory data (PBE) for a geometry-optimized PrEr2Cu9 structure.

abc: 8.745 8.745 8.745
angles: 34.80 34.80 34.80
Sites, in units of the cell vectors:
Pr (0.000, 0.000, 0.000)
Er (0.144, 0.144, 0.144)
Er (0.856, 0.856, 0.856)
Cu (0.084, 0.583, 0.583)
Cu (0.332, 0.332, 0.332)
Cu (0.417, 0.417, 0.916)
Cu (0.417, 0.916, 0.417)
Cu (0.500, 0.500, 0.500)
Cu (0.583, 0.084, 0.583)
Cu (0.583, 0.583, 0.084)
Cu (0.668, 0.668, 0.668)
Cu (0.916, 0.417, 0.417)

* DFT formation energy: -195.2 meV per atom
* symmetry: R-3m, No. 166



Record 12
Density functional theory data (PBE) for a geometry-optimized PrErCu3 structure.

abc: 12.879 12.879 4.316
angles: 90.00 90.00 163.25
Sites, in units of the cell vectors:
Pr (0.073, 0.927, 0.750)
Pr (0.927, 0.073, 0.250)
Er (0.206, 0.794, 0.250)
Er (0.794, 0.206, 0.750)
Cu (0.324, 0.676, 0.250)
Cu (0.378, 0.622, 0.750)
Cu (0.476, 0.524, 0.750)
Cu (0.524, 0.476, 0.250)
Cu (0.622, 0.378, 0.250)
Cu (0.676, 0.324, 0.750)

* DFT formation energy: -222.8 meV per atom
* symmetry: Cmcm, No. 63



Record 13
Density functional theory data (PBE) for a geometry-optimized Pr2ErCu structure.

abc: 3.657 3.657 8.600
angles: 90.00 90.00 90.00
Sites, in units of the cell vectors:
Pr (0.000, 0.000, 0.205)
Pr (0.000, 0.000, 0.795)
Er (0.500, 0.500, 0.500)
Cu (0.500, 0.500, 0.000)

* DFT formation energy: -25.9 meV per atom
* symmetry: P4/mmm, No. 123



Record 14
Density functional theory data (PBE) for a geometry-optimized Pr5ErCu6 structure.

abc: 8.805 8.805 5.086
angles: 106.66 106.66 47.85
Sites, in units of the cell vectors:
Pr (0.000, 0.000, 0.000)
Pr (0.166, 0.166, 0.665)
Pr (0.332, 0.332, 0.334)
Pr (0.668, 0.668, 0.666)
Pr (0.834, 0.834, 0.335)
Er (0.500, 0.500, 0.000)
Cu (0.102, 0.578, 0.843)
Cu (0.274, 0.726, 0.500)
Cu (0.422, 0.898, 0.157)
Cu (0.578, 0.102, 0.843)
Cu (0.726, 0.274, 0.500)
Cu (0.898, 0.422, 0.157)

* DFT formation energy: -141.2 meV per atom
* symmetry: C2/m, No. 12



Record 15
Density functional theory data (PBE) for a geometry-optimized Pr2ErCu6 structure.

abc: 7.399 7.399 3.713
angles: 90.00 90.00 120.00
Sites, in units of the cell vectors:
Pr (0.333, 0.667, 0.000)
Pr (0.667, 0.333, 0.000)
Er (0.000, 0.000, 0.000)
Cu (0.000, 0.330, 0.500)
Cu (0.000, 0.670, 0.500)
Cu (0.330, 0.000, 0.500)
Cu (0.330, 0.330, 0.500)
Cu (0.670, 0.000, 0.500)
Cu (0.670, 0.670, 0.500)

* DFT formation energy: -215.0 meV per atom
* symmetry: P6/mmm, No. 191



Record 16
Density functional theory data (PBE) for a geometry-optimized PrErCu2 structure.

abc: 7.124 7.124 7.124
angles: 33.80 33.80 33.80
Sites, in units of the cell vectors:
Pr (0.000, 0.000, 0.000)
Er (0.500, 0.500, 0.500)
Cu (0.242, 0.242, 0.242)
Cu (0.758, 0.758, 0.758)

* DFT formation energy: 22.5 meV per atom
* symmetry: R-3m, No. 166



Record 17
Density functional theory data (PBE) for a geometry-optimized Pr2ErCu4 structure.

abc: 7.045 7.045 7.045
angles: 137.05 137.05 62.36
Sites, in units of the cell vectors:
Pr (0.208, 0.208, 0.000)
Pr (0.792, 0.792, 0.000)
Er (0.500, 0.500, 0.000)
Cu (0.105, 0.605, 0.500)
Cu (0.395, 0.895, 0.500)
Cu (0.605, 0.105, 0.500)
Cu (0.895, 0.395, 0.500)

* DFT formation energy: 9.7 meV per atom
* symmetry: I4/mmm, No. 139



Record 18
Density functional theory data (PBE) for a geometry-optimized PrEr2Cu structure.

abc: 4.935 7.474 6.392
angles: 90.00 112.59 90.00
Sites, in units of the cell vectors:
Pr (0.048, 0.250, 0.096)
Pr (0.952, 0.750, 0.904)
Er (0.350, 0.031, 0.699)
Er (0.350, 0.469, 0.699)
Er (0.650, 0.531, 0.301)
Er (0.650, 0.969, 0.301)
Cu (0.201, 0.750, 0.403)
Cu (0.799, 0.250, 0.597)

* DFT formation energy: -70.2 meV per atom
* symmetry: P2_1/m, No. 11



Record 19
Density functional theory data (PBE) for a geometry-optimized PrErCu2 structure.

abc: 3.504 3.504 7.132
angles: 90.00 90.00 90.00
Sites, in units of the cell vectors:
Pr (0.000, 0.000, 0.000)
Er (0.000, 0.000, 0.500)
Cu (0.500, 0.500, 0.279)
Cu (0.500, 0.500, 0.721)

* DFT formation energy: -203.6 meV per atom
* symmetry: P4/mmm, No. 123



Record 20
Density functional theory data (PBE) for a geometry-optimized PrErCuRh structure.

abc: 4.966 4.966 4.966
angles: 60.00 60.00 60.00
Sites, in units of the cell vectors:
Pr (0.000, 0.000, 0.000)
Er (0.500, 0.500, 0.500)
Cu (0.250, 0.250, 0.250)
Rh (0.750, 0.750, 0.750)

* DFT formation energy: -471.2 meV per atom
* symmetry: F-43m, No. 216



Record 21
Density functional theory data (PBE) for a geometry-optimized PrErCuRh structure.

abc: 4.416 5.625 5.625
angles: 40.01 90.00 90.00
Sites, in units of the cell vectors:
Pr (0.000, 0.000, 0.000)
Er (0.500, 0.278, 0.278)
Cu (0.500, 0.572, 0.572)
Rh (0.000, 0.726, 0.726)

* DFT formation energy: -509.9 meV per atom
* symmetry: Amm2, No. 38



Record 22
Density functional theory data (PBE) for a geometry-optimized PrErCu2Se4 structure.

abc: 6.333 6.333 6.333
angles: 115.05 112.51 101.17
Sites, in units of the cell vectors:
Pr (0.000, 0.000, 0.000)
Er (0.500, 0.500, 0.000)
Cu (0.345, 0.845, 0.500)
Cu (0.655, 0.155, 0.500)
Se (0.086, 0.064, 0.536)
Se (0.472, 0.936, 0.022)
Se (0.528, 0.550, 0.464)
Se (0.914, 0.450, 0.978)

* symmetry: I222, No. 23
* raw formation energy: -1.0565 eV per atom



Record 23
Density functional theory data (PBE) for a geometry-optimized PrErCu2Si2 structure.

abc: 4.192 4.192 7.632
angles: 90.00 90.00 120.00
Sites, in units of the cell vectors:
Pr (0.000, 0.000, 0.000)
Er (0.000, 0.000, 0.500)
Cu (0.333, 0.667, 0.726)
Cu (0.667, 0.333, 0.274)
Si (0.333, 0.667, 0.265)
Si (0.667, 0.333, 0.735)

* symmetry: P-3m1, No. 164
* raw formation energy: -0.6439 eV per atom



Record 24
Density functional theory data (PBE) for a geometry-optimized PrEr2Cu2Si2 structure.

abc: 9.654 9.654 9.654
angles: 25.40 25.40 25.40
Sites, in units of the cell vectors:
Pr (0.000, 0.000, 0.000)
Er (0.128, 0.128, 0.128)
Er (0.872, 0.872, 0.872)
Cu (0.407, 0.407, 0.407)
Cu (0.593, 0.593, 0.593)
Si (0.258, 0.258, 0.258)
Si (0.742, 0.742, 0.742)

* symmetry: R-3m, No. 166
* raw formation energy: -0.4789 eV per atom



Record 25
Density functional theory data (PBE) for a geometry-optimized PrSmErCu structure.

abc: 3.555 3.555 8.760
angles: 90.00 90.00 90.00
Sites, in units of the cell vectors:
Pr (0.000, 0.000, 0.000)
Sm (0.500, 0.500, 0.687)
Er (0.500, 0.500, 0.304)
Cu (0.000, 0.000, 0.479)

* DFT formation energy: -92.8 meV per atom
* symmetry: P4mm, No. 99



Record 26
Density functional theory data (PBE) for a geometry-optimized TbPrErCu structure.

abc: 3.530 3.530 8.727
angles: 90.00 90.00 90.00
Sites, in units of the cell vectors:
Tb (0.000, 0.000, 0.000)
Pr (0.500, 0.500, 0.311)
Er (0.000, 0.000, 0.619)
Cu (0.500, 0.500, 0.802)

* DFT formation energy: -104.3 meV per atom
* symmetry: P4mm, No. 99